YbNi2B2C | GGA-PBE | optimized geometry

* space group: No. 139
* ΔH_f (0 K): -9.90 kcal/mol of atoms

abc: 5.7331 5.7331 5.7331
angles: 143.96 143.96 51.89
Closest atoms and distances in Å follow each position.
Element x y z (fractional)
Yb 0.0000 0.0000 0.0000  4 C 2.51
Ni 0.2500 0.7500 0.5000  4 B 2.08
Ni 0.7500 0.2500 0.5000  4 B 2.08
B 0.3563 0.3563 0.0000  1 C 1.48
B 0.6437 0.6437 0.0000  1 C 1.48
C 0.5000 0.5000 0.0000  2 B 1.48

GaTeIr | GGA-PBE | optimized geometry

* distance to the lowest polymorph of the same formula: 237 meV per atom
* space group: No. 38
* formation energy from raw total energies: 14.6 kJ/mol of formula units

abc: 4.0760 4.7264 4.7264
angles: 44.73 90.00 90.00
Closest atoms and distances in Å follow each position.
Element x y z (fractional)
Ga 0.0000 0.0000 0.0000  3 Ir 2.55-2.56
Te 0.5000 0.2732 0.2732  4 Ir 2.78
Ir 0.0000 0.7070 0.7070  3 Ga 2.55-2.56, 4 Te 2.78

CaLa6Dy2 | GGA-PBE | optimized geometry

* space group: No. 162
* ΔH_f (0 K): 10.65 kcal/mol of atoms

abc: 6.1668 6.1668 11.8441
angles: 90.00 90.00 120.00
Closest atoms and distances in Å follow each position.
Element x y z (fractional)
Ca 0.0000 0.0000 0.0000  6 La 3.73
La 0.0000 0.3201 0.2676  6 La 3.42-3.63, 2 Dy 3.46, 1 Ca 3.73
La 0.0000 0.6799 0.7324  6 La 3.42-3.63, 2 Dy 3.46, 1 Ca 3.73
La 0.3201 0.0000 0.2676  6 La 3.42-3.63, 2 Dy 3.46, 1 Ca 3.73
La 0.3201 0.3201 0.7324  6 La 3.42-3.63, 2 Dy 3.46, 1 Ca 3.73
La 0.6799 0.0000 0.7324  6 La 3.42-3.63, 2 Dy 3.46, 1 Ca 3.73
La 0.6799 0.6799 0.2676  6 La 3.42-3.63, 2 Dy 3.46, 1 Ca 3.73
Dy 0.3333 0.6667 0.5000  6 La 3.46, 3 Dy 3.56
Dy 0.6667 0.3333 0.5000  6 La 3.46, 3 Dy 3.56

PrNd3In2 | GGA-PBE | optimized geometry

* distance to the lowest polymorph of the same formula: 0 meV per atom
* space group: No. 26
* ΔH_f (0 K): -8.02 kcal/mol of atoms

abc: 5.3668 10.2194 6.9051
angles: 90.00 90.00 90.00
Closest atoms and distances in Å follow each position.
Element x y z (fractional)
Pr 0.0000 0.0411 0.0000  5 In 3.36-3.71, 2 Pr 3.55, 3 Nd 3.57-3.74
Pr 0.0000 0.9589 0.5000  5 In 3.36-3.71, 2 Pr 3.55, 3 Nd 3.57-3.74
Nd 0.0000 0.3222 0.6528  5 In 3.27-3.62, 2 Nd 3.56
Nd 0.0000 0.6778 0.1528  5 In 3.27-3.62, 2 Nd 3.56
Nd 0.5000 0.1793 0.2721  5 In 3.30-3.63, 2 Pr 3.57
Nd 0.5000 0.4585 0.9260  5 In 3.35-3.71, 5 Nd 3.56-3.72
Nd 0.5000 0.5415 0.4260  5 In 3.35-3.71, 5 Nd 3.56-3.72
Nd 0.5000 0.8207 0.7721  5 In 3.30-3.63, 2 Pr 3.57
In 0.0000 0.3578 0.1746  7 Nd 3.27-3.62, 1 Pr 3.45
In 0.0000 0.6422 0.6746  7 Nd 3.27-3.62, 1 Pr 3.45
In 0.5000 0.1435 0.7497  6 Nd 3.30-3.63, 2 Pr 3.36
In 0.5000 0.8565 0.2497  6 Nd 3.30-3.63, 2 Pr 3.36